First-principles (PBE) data for a relaxed SrNp2NbN4 crystal, as listed in Alexandria via LeMat-Bulk.

a = 3.473 Å, b = 6.294 Å, c = 12.249 Å
α = 90.00°, β = 90.00°, γ = 106.02°
Last column: magnetic moment on the atom in μB.
Element x y z (fractional)
N1 0.571 0.142 0.250  -0.02
Nb1 0.165 0.329 0.250  0.56
Np1 0.630 0.260 0.464  3.67
N2 0.739 0.479 0.617  -0.09
N3 0.429 0.858 0.750  -0.02
N4 0.000 0.000 0.000  -0.17
Np2 0.370 0.740 0.536  3.67
Np3 0.370 0.740 0.964  3.67
N5 0.261 0.521 0.383  -0.09
N6 0.261 0.521 0.117  -0.09
Sr1 0.900 0.800 0.250  0.06
Sr2 0.100 0.200 0.750  0.06
N7 0.000 0.000 0.500  -0.17
Nb2 0.835 0.671 0.750  0.56
Np4 0.630 0.260 0.036  3.67
N8 0.739 0.479 0.883  -0.09

Calculated values
spin magnetization: 1.053 μB per atom
raw formation energy: -0.8947 eV per atom
density of states at the Fermi level: 1.4758 states/eV/atom
final energy: -9.76 eV per atom
ρ: 9.17 g/cm³


First-principles (PBE) data for a relaxed NaGa12Rh4 crystal, as listed in Alexandria via LeMat-Bulk.

a = 8.305 Å, b = 8.305 Å, c = 8.305 Å
α = 109.47°, β = 109.47°, γ = 109.47°
Element x y z (fractional)
Ga1 0.254 0.746 0.000
Ga2 0.254 0.508 0.254
Rh1 0.000 0.000 0.500
Ga3 0.508 0.254 0.254
Rh2 0.500 0.000 0.000
Ga4 0.000 0.254 0.746
Na1 0.000 0.000 0.000
Rh3 0.500 0.500 0.500
Rh4 0.000 0.500 0.000
Ga5 0.492 0.746 0.746
Ga6 0.254 0.254 0.508
Ga7 0.746 0.492 0.746
Ga8 0.746 0.746 0.492
Ga9 0.746 0.000 0.254
Ga10 0.000 0.746 0.254
Ga11 0.254 0.000 0.746
Ga12 0.746 0.254 0.000

Calculated values
spin magnetization: 0.000 μB per atom
density of states at the Fermi level: 0.4610 states/eV/atom
final energy: -4.19 eV per atom
DFT formation energy: -251 meV/atom
ρ: 4.79 g/cm³


First-principles (PBE) data for a relaxed Tb2TcPbO8 crystal, as listed in Alexandria via LeMat-Bulk.

a = 5.024 Å, b = 5.024 Å, c = 6.889 Å
α = 90.00°, β = 90.00°, γ = 91.55°
Element x y z (fractional)
O1 0.728 0.729 0.000
O2 0.692 0.692 0.500
O3 0.272 0.271 0.000
O4 0.818 0.182 0.793
Tb1 0.500 0.500 0.755
O5 0.818 0.182 0.207
Pb1 0.000 0.000 0.500
Tc1 0.000 0.000 0.000
O6 0.182 0.818 0.207
O7 0.308 0.308 0.500
O8 0.182 0.818 0.793
Tb2 0.500 0.500 0.245

Calculated values
spin magnetization: 0.000 μB per atom
raw formation energy: -2.0988 eV per atom
density of states at the Fermi level: 0.1840 states/eV/atom
final energy: -7.35 eV per atom
ρ: 7.17 g/cm³